1.
Crystalline PaCoSi2Ru2 at its relaxed geometry, computed with PBE.

Unit cell a=3.8312 b=3.8312 c=7.6780 alpha=104.45 beta=104.45 gamma=90.00
With the nearest neighbours (Å) after each atom.
Fractional positions:
Pa  0.5000  0.5000  0.0000  4 Co 2.71
Co  0.0000  0.0000  0.0000  2 Si 2.20
Si  0.8467  0.8467  0.6934  1 Co 2.20, 4 Ru 2.37
Si  0.1533  0.1533  0.3066  1 Co 2.20, 4 Ru 2.37
Ru  0.2500  0.7500  0.5000  4 Si 2.37
Ru  0.7500  0.2500  0.5000  4 Si 2.37

Calculated values
Total magnetization   0.00 μB per cell
E_tot   -7.9777 eV per atom
N(E_F)   6.95 states/eV per cell
E_form (uncorrected)   -0.31 eV/atom

2.
Crystalline Nd4Cl at its relaxed geometry, computed with PBE.

Unit cell a=5.5015 b=5.5015 c=5.5015 alpha=90.00 beta=90.00 gamma=90.00
With the nearest neighbours (Å) after each atom.
Fractional positions:
Nd  0.0000  0.0000  0.0000  12 Nd 3.89
Nd  0.5000  0.0000  0.5000  2 Cl 2.75
Nd  0.0000  0.5000  0.5000  2 Cl 2.75
Nd  0.5000  0.5000  0.0000  2 Cl 2.75
Cl  0.5000  0.5000  0.5000  6 Nd 2.75

Calculated values
Total magnetization   0.00 μB per cell
E_tot   -4.6920 eV per atom
N(E_F)   4.86 states/eV per cell
E_form (uncorrected)   -0.51 eV/atom

3.
Crystalline Sr3Bi2O at its relaxed geometry, computed with PBE.

Unit cell a=3.9447 b=7.4348 c=13.1409 alpha=90.00 beta=98.63 gamma=90.00
With the nearest neighbours (Å) after each atom.
Fractional positions:
Sr  0.4069  0.5020  0.8139  1 O 2.34
Sr  0.5931  0.4980  0.1861  1 O 2.34
Sr  0.4069  0.9980  0.8139  1 O 2.34
Sr  0.5931  0.0020  0.1861  1 O 2.34
Sr  0.7969  0.7500  0.5937  2 O 2.43
Sr  0.2031  0.2500  0.4063  2 O 2.43
Bi  0.1812  0.7500  0.3625  8 Sr 3.56-3.76, 2 Bi 3.94
Bi  0.8188  0.2500  0.6375  8 Sr 3.56-3.76, 2 Bi 3.94
Bi  0.9986  0.7500  0.9972  8 Sr 3.60-3.66, 4 Bi 3.72-3.94
Bi  0.0014  0.2500  0.0028  8 Sr 3.60-3.66, 4 Bi 3.72-3.94
O  0.3516  0.7500  0.7033  4 Sr 2.34-2.43
O  0.6484  0.2500  0.2967  4 Sr 2.34-2.43

Calculated values
Total magnetization   0.00 μB per cell
E_tot   -4.4148 eV per atom
N(E_F)   1.22 states/eV per cell
E_form (uncorrected)   -1.45 eV/atom

4.
Crystalline LiTl3B at its relaxed geometry, computed with PBE.

Unit cell a=5.0887 b=5.0887 c=5.0887 alpha=90.00 beta=90.00 gamma=90.00
With the nearest neighbours (Å) after each atom.
Fractional positions:
Tl  0.0000  0.5000  0.0000  2 Li 2.54
Tl  0.0000  0.0000  0.5000  2 Li 2.54
Tl  0.5000  0.0000  0.0000  2 Li 2.54
B  0.5000  0.5000  0.5000  12 Tl 3.60
Li  0.0000  0.0000  0.0000  6 Tl 2.54

Calculated values
Total magnetization   0.00 μB per cell
E_form   1.0036 eV/atom
E_tot   -2.1344 eV per atom
N(E_F)   2.53 states/eV per cell

5.
Crystalline BaCr2P at its relaxed geometry, computed with PBE.

Unit cell a=3.9855 b=3.5468 c=6.4796 alpha=90.66 beta=90.00 gamma=90.00
With the nearest neighbours (Å) after each atom.
Fractional positions:
Ba  0.5000  0.8819  0.6987  4 P 3.20-3.21, 2 Ba 3.55
Cr  0.0000  0.8702  0.1778  2 P 2.39, 2 Cr 2.67
Cr  0.5000  0.3727  0.1993  2 P 2.47, 4 Cr 2.67-2.68
P  0.0000  0.3752  0.4243  4 Cr 2.39-2.47

Calculated values
Total magnetization   0.73 μB per cell
E_form   -0.0253 eV/atom
E_tot   -6.6701 eV per atom
N(E_F)   2.67 states/eV per cell

6.
Crystalline Ti3MnIn at its relaxed geometry, computed with PBE.

Unit cell a=4.5365 b=4.5365 c=4.5365 alpha=90.00 beta=90.00 gamma=90.00
With the nearest neighbours (Å) after each atom.
Fractional positions:
Mn  0.0000  0.0000  0.0000  6 Ti 2.27
Ti  0.0000  0.5000  0.0000  2 Mn 2.27
Ti  0.0000  0.0000  0.5000  2 Mn 2.27
Ti  0.5000  0.0000  0.0000  2 Mn 2.27
In  0.5000  0.5000  0.5000  12 Ti 3.21

Calculated values
Total magnetization   1.41 μB per cell
E_form   0.2243 eV/atom
E_tot   -6.8942 eV per atom
N(E_F)   5.17 states/eV per cell

7.
Crystalline CdH6Rh2Pb at its relaxed geometry, computed with PBE.

Unit cell a=7.2064 b=7.2064 c=4.9691 alpha=98.15 beta=98.15 gamma=117.57
With the nearest neighbours (Å) after each atom.
Fractional positions:
Cd  0.7123  0.2877  0.2500  2 H 2.08
Cd  0.2877  0.7123  0.7500  2 H 2.08
H  0.0811  0.4500  0.1880  1 Rh 1.61
H  0.5500  0.9189  0.3120  1 Rh 1.61
H  0.9189  0.5500  0.8120  1 Rh 1.61
H  0.4500  0.0811  0.6880  1 Rh 1.61
H  0.2899  0.3110  0.1448  2 Rh 1.72-1.81, 1 H 1.88
H  0.6890  0.7101  0.3552  2 Rh 1.72-1.81, 1 H 1.88
H  0.7101  0.6890  0.8552  2 Rh 1.72-1.81, 1 H 1.88
H  0.3110  0.2899  0.6448  2 Rh 1.72-1.81, 1 H 1.88
H  0.3522  0.5239  0.4626  1 Rh 1.61
H  0.4761  0.6478  0.0374  1 Rh 1.61
H  0.6478  0.4761  0.5374  1 Rh 1.61
H  0.5239  0.3522  0.9626  1 Rh 1.61
Rh  0.3017  0.1266  0.8697  3 H 1.61-1.72
Rh  0.8734  0.6983  0.6303  3 H 1.61-1.72
Rh  0.6983  0.8734  0.1303  3 H 1.61-1.72
Rh  0.1266  0.3017  0.3697  3 H 1.61-1.72
Pb  0.1136  0.8864  0.2500  6 H 2.66-2.88, 4 Rh 2.81-2.92
Pb  0.8864  0.1136  0.7500  6 H 2.66-2.88, 4 Rh 2.81-2.92

Calculated values
Total magnetization   0.00 μB per cell
E_tot   -3.8967 eV per atom
N(E_F)   3.54 states/eV per cell

8.
Crystalline Pt2SeCl at its relaxed geometry, computed with PBE.

Unit cell a=5.3632 b=5.3632 c=5.3632 alpha=143.82 beta=100.48 gamma=90.63
With the nearest neighbours (Å) after each atom.
Fractional positions:
Cl  0.2500  0.7500  0.5000  4 Pt 2.59
Pt  0.9865  0.9865  0.0000  2 Se 2.44, 2 Cl 2.59
Pt  0.5135  0.5135  0.0000  2 Se 2.44, 2 Cl 2.59
Se  0.7500  0.2500  0.5000  4 Pt 2.44

Calculated values
Total magnetization   0.92 μB per cell
E_tot   -3.9702 eV per atom
N(E_F)   3.51 states/eV per cell
E_form (uncorrected)   0.38 eV/atom

9.
Crystalline Ag5Ge2S5 at its relaxed geometry, computed with PBE.

Unit cell a=3.7684 b=6.4808 c=10.9258 alpha=107.64 beta=90.00 gamma=106.90
With the nearest neighbours (Å) after each atom.
Fractional positions:
Ag  0.5000  0.0000  0.5000  4 S 2.70
Ag  0.6675  0.3350  0.0544  5 S 2.73-2.88, 1 Ag 2.95
Ag  0.7322  0.4644  0.3386  5 S 2.67-2.83, 1 Ag 2.95
Ag  0.2678  0.5356  0.6614  5 S 2.67-2.83, 1 Ag 2.95
Ag  0.3325  0.6650  0.9456  5 S 2.73-2.88, 1 Ag 2.95
Ge  0.0370  0.0739  0.7863  4 S 2.36-2.55
Ge  0.9630  0.9261  0.2137  4 S 2.36-2.55
S  0.1122  0.2245  0.4115  1 Ge 2.36
S  0.6772  0.3543  0.7950  2 Ge 2.55, 4 Ag 2.82-2.83
S  0.3228  0.6457  0.2050  2 Ge 2.55, 4 Ag 2.82-2.83
S  0.8878  0.7755  0.5885  1 Ge 2.36
S  0.0000  0.0000  0.0000  2 Ge 2.52, 4 Ag 2.73

Calculated values
Total magnetization   0.00 μB per cell
E_tot   -3.6698 eV per atom
N(E_F)   1.53 states/eV per cell
E_form (uncorrected)   0.01 eV/atom

10.
Crystalline Tm3Cd7Ag2 at its relaxed geometry, computed with PBE.

Unit cell a=3.7841 b=4.7664 c=15.8124 alpha=98.25 beta=90.00 gamma=90.00
With the nearest neighbours (Å) after each atom.
Fractional positions:
Tm  0.5000  0.5000  0.0000  8 Cd 3.04-3.06
Tm  0.0000  0.1818  0.3573  4 Ag 3.24-3.25, 8 Cd 3.42-3.50
Tm  0.0000  0.8182  0.6427  4 Ag 3.24-3.25, 8 Cd 3.42-3.50
Cd  0.5000  0.7295  0.4568  1 Ag 2.69, 2 Cd 2.74
Cd  0.5000  0.2705  0.5432  1 Ag 2.69, 2 Cd 2.74
Cd  0.0000  0.5799  0.1535  2 Ag 2.79, 4 Cd 3.05-3.06, 2 Tm 3.06
Cd  0.0000  0.0000  0.0000  4 Tm 3.04, 8 Cd 3.26-3.41
Cd  0.0000  0.4201  0.8465  2 Ag 2.79, 4 Cd 3.05-3.06, 2 Tm 3.06
Cd  0.5000  0.9117  0.8307  2 Ag 2.98-3.00, 6 Cd 3.05-3.26
Cd  0.5000  0.0883  0.1693  2 Ag 2.98-3.00, 6 Cd 3.05-3.26
Ag  0.5000  0.6455  0.2846  5 Cd 2.69-3.00
Ag  0.5000  0.3545  0.7154  5 Cd 2.69-3.00

Calculated values
Total magnetization   0.00 μB per cell
E_form   -0.1584 eV/atom
E_tot   -2.2853 eV per atom
N(E_F)   6.32 states/eV per cell

11.
Crystalline Na2MgBi2 at its relaxed geometry, computed with PBE.

Unit cell a=6.3286 b=8.8960 c=8.0508 alpha=123.54 beta=113.14 gamma=90.00
With the nearest neighbours (Å) after each atom.
Fractional positions:
Na  0.8031  0.6882  0.6063  3 Bi 3.17-3.44
Na  0.1969  0.3118  0.3937  3 Bi 3.17-3.44
Na  0.6969  0.0820  0.3937  3 Bi 3.17-3.44
Na  0.3031  0.9180  0.6063  3 Bi 3.17-3.44
Mg  0.7500  0.5000  0.0000  4 Bi 2.99, 2 Mg 3.16
Mg  0.2500  0.5000  0.0000  4 Bi 2.99, 2 Mg 3.16
Bi  0.4417  0.7168  0.8834  2 Mg 2.99, 2 Na 3.17-3.23
Bi  0.5583  0.2832  0.1166  2 Mg 2.99, 2 Na 3.17-3.23
Bi  0.0583  0.8333  0.1166  2 Mg 2.99, 2 Na 3.17-3.23
Bi  0.9417  0.1667  0.8834  2 Mg 2.99, 2 Na 3.17-3.23

Calculated values
Total magnetization   0.00 μB per cell
E_form   -0.2235 eV/atom
E_tot   -2.6225 eV per atom
N(E_F)   1.74 states/eV per cell

12.
Crystalline PBrF2 at its relaxed geometry, computed with PBE.

Unit cell a=10.2437 b=10.2437 c=10.2437 alpha=16.14 beta=16.14 gamma=16.14
With the nearest neighbours (Å) after each atom.
Fractional positions:
P  0.0000  0.0000  0.0000  2 F 1.65
Br  0.5000  0.5000  0.5000  6 Br 2.88
F  0.9454  0.9454  0.9454  1 P 1.65
F  0.0546  0.0546  0.0546  1 P 1.65

Calculated values
Total magnetization   0.00 μB per cell
E_tot   -3.6776 eV per atom
N(E_F)   3.38 states/eV per cell
E_form (uncorrected)   -0.97 eV/atom